VASP calculation (GGA-PBE) on a relaxed structure of Tb6SnAs2Se3.

Unit cell a=4.170 b=8.361 c=9.333 alpha=102.78 beta=102.91 gamma=90.00
Atoms (fractional coordinates):
Tb 0.331 0.907 0.662
Tb 0.670 0.577 0.341
Tb 0.669 0.093 0.338
Tb 0.003 0.258 0.006
Tb 0.997 0.742 0.994
Tb 0.330 0.423 0.659
Sn 0.500 0.000 0.000
As 0.832 0.665 0.665
As 0.168 0.335 0.335
Se 0.500 0.500 0.000
Se 0.834 0.168 0.668
Se 0.166 0.832 0.332

Results
D(E_F), states/eV/f.u.: 4.31
E_form (uncorrected), meV/atom: -1552